Below is CaBeOs2 after structural relaxation, with properties calculated at the PBE level.

Cell and atoms, written as CIF:
```
data_CaBeOs2
_chemical_formula_sum 'Ca1 Be1 Os2'
_cell_length_a 4.444
_cell_length_b 4.444
_cell_length_c 5.848
_cell_angle_alpha 80.82
_cell_angle_beta 80.82
_cell_angle_gamma 39.00
_space_group_name_H-M_alt 'P 1'
_space_group_IT_number 1
_space_group_name_Hall 'P 1'
loop_
_atom_site_label
_atom_site_type_symbol
_atom_site_fract_x
_atom_site_fract_y
_atom_site_fract_z
_atom_site_occupancy
Os1 Os 0.012 0.012 0.892 1
Os2 Os 0.755 0.755 0.744 1
Be1 Be 0.477 0.477 0.601 1
Ca1 Ca 0.256 0.256 0.262 1
```

Summary:
Formation energy from the elements ... 0.344 eV/atom
Crystal system ... monoclinic
Total magnetization ... 0.00 μB/f.u.